Entry from Alexandria: NbAlNi14 after structural relaxation (PBE-GGA).

Formation enthalpy at 0 K (meV per atom): -155
M_tot (μB per cell): 4.9
Crystal system: tetragonal

a = 5.064 Å, b = 5.064 Å, c = 7.117 Å
α = 90.00°, β = 90.00°, γ = 90.00°
Atoms (fractional coordinates):
Nb  0.000  0.000  0.000
Al  0.500  0.500  0.000
Ni  0.000  0.000  0.500
Ni  0.000  0.500  0.000
Ni  0.000  0.500  0.500
Ni  0.252  0.252  0.257
Ni  0.252  0.252  0.743
Ni  0.252  0.748  0.257
Ni  0.252  0.748  0.743
Ni  0.500  0.000  0.000
Ni  0.500  0.000  0.500
Ni  0.500  0.500  0.500
Ni  0.748  0.252  0.257
Ni  0.748  0.252  0.743
Ni  0.748  0.748  0.257
Ni  0.748  0.748  0.743